No. 1
# NbNi2W2, relaxed, DFT PBE-GGA
data_NbNi2W2
_cell_length_a 6.7143
_cell_length_b 6.7143
_cell_length_c 6.7143
_cell_angle_alpha 149.53
_cell_angle_beta 149.53
_cell_angle_gamma 43.63
_space_group_name_H-M_alt 'P 1'
_space_group_IT_number 1
loop_
_space_group_symop_operation_xyz
'x,y,z'
loop_
_atom_site_label
_atom_site_fract_x
_atom_site_fract_y
_atom_site_fract_z
_atom_site_occupancy
Nb1 0.0000 0.0000 0.0000 1
Ni1 0.2500 0.7500 0.5000 1
Ni2 0.7500 0.2500 0.5000 1
W1 0.3955 0.3955 0.0000 1
W2 0.6045 0.6045 0.0000 1
# Space group: I4/mmm
# Offset from the most stable computed form in meV/atom: 354
# DFT formation energy in eV/atom: 0.443

No. 2
# Dy8Er2Tl, relaxed, DFT PBE-GGA
data_Dy8Er2Tl
_cell_length_a 8.9745
_cell_length_b 8.9745
_cell_length_c 8.2557
_cell_angle_alpha 114.70
_cell_angle_beta 114.70
_cell_angle_gamma 34.63
_space_group_name_H-M_alt 'P 1'
_space_group_IT_number 1
loop_
_space_group_symop_operation_xyz
'x,y,z'
loop_
_atom_site_label
_atom_site_fract_x
_atom_site_fract_y
_atom_site_fract_z
_atom_site_occupancy
Dy1 0.0195 0.0195 0.2258 1
Dy2 0.1612 0.1612 0.7045 1
Dy3 0.3309 0.3309 0.5958 1
Dy4 0.3925 0.3925 0.0665 1
Dy5 0.6075 0.6075 0.9335 1
Dy6 0.6691 0.6691 0.4042 1
Dy7 0.8388 0.8388 0.2955 1
Dy8 0.9805 0.9805 0.7742 1
Er1 0.1992 0.1992 0.1501 1
Er2 0.8008 0.8008 0.8499 1
Tl1 0.5000 0.5000 0.5000 1
# Space group: C2/m
# Offset from the most stable computed form in meV/atom: 0
# DFT formation energy in eV/atom: 0.022

No. 3
# MgTlBi2, relaxed, DFT PBE-GGA
data_MgTlBi2
_cell_length_a 4.9827
_cell_length_b 4.9827
_cell_length_c 4.7575
_cell_angle_alpha 90.00
_cell_angle_beta 90.00
_cell_angle_gamma 90.00
_space_group_name_H-M_alt 'P 1'
_space_group_IT_number 1
loop_
_space_group_symop_operation_xyz
'x,y,z'
loop_
_atom_site_label
_atom_site_fract_x
_atom_site_fract_y
_atom_site_fract_z
_atom_site_occupancy
Mg1 0.0000 0.0000 0.0000 1
Tl1 0.5000 0.5000 0.0000 1
Bi1 0.0000 0.5000 0.5000 1
Bi2 0.5000 0.0000 0.5000 1
# Space group: P4/mmm
# DFT formation energy in eV/atom: 0.005

No. 4
# YHo5Pb4, relaxed, DFT PBE-GGA
data_YHo5Pb4
_cell_length_a 8.9780
_cell_length_b 8.9780
_cell_length_c 9.7424
_cell_angle_alpha 92.35
_cell_angle_beta 92.35
_cell_angle_gamma 23.47
_space_group_name_H-M_alt 'P 1'
_space_group_IT_number 1
loop_
_space_group_symop_operation_xyz
'x,y,z'
loop_
_atom_site_label
_atom_site_fract_x
_atom_site_fract_y
_atom_site_fract_z
_atom_site_occupancy
Y1 0.0000 0.0000 0.0000 1
Ho1 0.0000 0.0000 0.5000 1
Ho2 0.3085 0.3085 0.6119 1
Ho3 0.3450 0.3450 0.2446 1
Ho4 0.6550 0.6550 0.7554 1
Ho5 0.6915 0.6915 0.3881 1
Pb1 0.1823 0.1823 0.0669 1
Pb2 0.4746 0.4746 0.7478 1
Pb3 0.5254 0.5254 0.2522 1
Pb4 0.8177 0.8177 0.9331 1
# Space group: C2/m
# DFT formation energy in eV/atom: -0.199

No. 5
# K4NaMg3F12, relaxed, DFT PBE-GGA
data_K4NaMg3F12
_cell_length_a 7.1734
_cell_length_b 7.1734
_cell_length_c 7.1734
_cell_angle_alpha 109.47
_cell_angle_beta 109.47
_cell_angle_gamma 109.47
_space_group_name_H-M_alt 'P 1'
_space_group_IT_number 1
loop_
_space_group_symop_operation_xyz
'x,y,z'
loop_
_atom_site_label
_atom_site_fract_x
_atom_site_fract_y
_atom_site_fract_z
_atom_site_occupancy
K1 0.0000 0.0000 0.5000 1
K2 0.0000 0.5000 0.0000 1
K3 0.5000 0.0000 0.0000 1
K4 0.5000 0.5000 0.5000 1
Na1 0.0000 0.0000 0.0000 1
Mg1 0.0000 0.5000 0.5000 1
Mg2 0.5000 0.0000 0.5000 1
Mg3 0.5000 0.5000 0.0000 1
F1 0.0000 0.2670 0.2670 1
F2 0.0000 0.7330 0.7330 1
F3 0.2500 0.5000 0.7500 1
F4 0.2500 0.7500 0.5000 1
F5 0.2670 0.0000 0.2670 1
F6 0.2670 0.2670 0.0000 1
F7 0.5000 0.2500 0.7500 1
F8 0.5000 0.7500 0.2500 1
F9 0.7330 0.0000 0.7330 1
F10 0.7330 0.7330 0.0000 1
F11 0.7500 0.2500 0.5000 1
F12 0.7500 0.5000 0.2500 1
# Space group: Im-3m
# Energy relative to the elements, uncorrected in eV per atom: -3.012

No. 6
# NbRe2H, relaxed, DFT PBE-GGA
data_NbRe2H
_cell_length_a 4.3117
_cell_length_b 4.3117
_cell_length_c 4.3117
_cell_angle_alpha 60.00
_cell_angle_beta 60.00
_cell_angle_gamma 60.00
_space_group_name_H-M_alt 'P 1'
_space_group_IT_number 1
loop_
_space_group_symop_operation_xyz
'x,y,z'
loop_
_atom_site_label
_atom_site_fract_x
_atom_site_fract_y
_atom_site_fract_z
_atom_site_occupancy
Nb1 0.0000 0.0000 0.0000 1
Re1 0.2500 0.2500 0.2500 1
Re2 0.7500 0.7500 0.7500 1
H1 0.5000 0.5000 0.5000 1
# Space group: Fm-3m
# Offset from the most stable computed form in meV/atom: 530

How do the records compare in theoretical density? In the order shown, they have 12.368; 8.988; 9.091; 9.258; 2.807; 13.662 Mg/m³.
How do the records compare in M_tot? In the order shown, they have 0.000; 0.000; 0.000; 0.000; 0.059; 0.000 μB/atom.